## GeSF (GGA-PBE)

Data for a relaxed GeSF crystal.

a b c (Å): 3.457 3.457 4.876
angles (deg): 90.00 90.00 90.00
Fractional coordinates of all 3 atoms:
Ge 0.500 0.500 0.712
S 0.000 0.000 0.824
F 0.500 0.500 0.346

## Properties
* relative energy among the computed polymorphs: 0.03 eV/f.u.
* M_tot: 0.0 Bohr magnetons per cell
* space group: No. 99
* ΔE_f (raw): -1.049 eV per atom
* density of states at the Fermi level: 1.10 states/eV/f.u.